Entry from Alexandria via LeMat-Bulk: a relaxed structure of Li4In3Ag (PBE-GGA).

Properties
formation enthalpy at 0 K: -0.268 eV/atom
final energy: -2.6084 eV/atom
Fermi-level density of states: 5.43 states/eV/cell

Unit cell a=4.7134 b=4.7134 c=13.2233 alpha=90.00 beta=90.00 gamma=90.00
With the nearest neighbours (Å) after each atom.
Fractional coordinates of all 16 atoms:
Li  0.0000  0.5000  0.1197  6 In 2.84-2.94, 2 Ag 2.84, 1 Li 3.17
Li  0.0000  0.5000  0.3803  6 In 2.84-2.94, 2 Ag 2.84, 1 Li 3.17
Li  0.0000  0.5000  0.6197  6 In 2.84-2.94, 2 Ag 2.84, 1 Li 3.17
Li  0.0000  0.5000  0.8803  6 In 2.84-2.94, 2 Ag 2.84, 1 Li 3.17
Li  0.5000  0.0000  0.1197  6 In 2.84-2.94, 2 Ag 2.84, 1 Li 3.17
Li  0.5000  0.0000  0.3803  6 In 2.84-2.94, 2 Ag 2.84, 1 Li 3.17
Li  0.5000  0.0000  0.6197  6 In 2.84-2.94, 2 Ag 2.84, 1 Li 3.17
Li  0.5000  0.0000  0.8803  6 In 2.84-2.94, 2 Ag 2.84, 1 Li 3.17
In  0.0000  0.0000  0.0000  8 Li 2.84
In  0.0000  0.0000  0.2529  8 Li 2.90-2.94
In  0.0000  0.0000  0.7471  8 Li 2.90-2.94
In  0.5000  0.5000  0.2471  8 Li 2.90-2.94
In  0.5000  0.5000  0.5000  8 Li 2.84
In  0.5000  0.5000  0.7529  8 Li 2.90-2.94
Ag  0.0000  0.0000  0.5000  8 Li 2.84
Ag  0.5000  0.5000  0.0000  8 Li 2.84


Entry from Alexandria via LeMat-Bulk: a relaxed structure of BaHo2Mg (PBE-GGA).

Properties
formation enthalpy at 0 K: 0.274 eV/atom
final energy: -2.8946 eV/atom
Fermi-level density of states: 16.20 states/eV/cell
polymorph energy (0 for the lowest one): 0.160 eV per atom

Unit cell a=3.5641 b=3.5641 c=37.3641 alpha=90.00 beta=90.00 gamma=120.00
With the nearest neighbours (Å) after each atom.
Fractional coordinates of all 12 atoms:
Ba  0.0000  0.0000  0.0000  6 Ba 3.56, 2 Ho 3.63
Ba  0.3333  0.6667  0.6667  6 Ba 3.56, 2 Ho 3.63
Ba  0.6667  0.3333  0.3333  6 Ba 3.56, 2 Ho 3.63
Ho  0.0000  0.0000  0.0973  3 Mg 3.31, 6 Ho 3.56, 1 Ba 3.63
Ho  0.0000  0.0000  0.9027  3 Mg 3.31, 6 Ho 3.56, 1 Ba 3.63
Ho  0.3333  0.6667  0.5694  3 Mg 3.31, 6 Ho 3.56, 1 Ba 3.63
Ho  0.3333  0.6667  0.7640  3 Mg 3.31, 6 Ho 3.56, 1 Ba 3.63
Ho  0.6667  0.3333  0.2360  3 Mg 3.31, 6 Ho 3.56, 1 Ba 3.63
Ho  0.6667  0.3333  0.4306  3 Mg 3.31, 6 Ho 3.56, 1 Ba 3.63
Mg  0.0000  0.0000  0.5000  6 Ho 3.31, 6 Mg 3.56
Mg  0.3333  0.6667  0.1667  6 Ho 3.31, 6 Mg 3.56
Mg  0.6667  0.3333  0.8333  6 Ho 3.31, 6 Mg 3.56


Entry from Alexandria via LeMat-Bulk: a relaxed structure of Na5F (PBE-GGA).

Properties
formation energy without anion corrections: -714 meV per atom
final energy: -2.1252 eV/atom
Fermi-level density of states: 4.18 states/eV/cell

Unit cell a=3.4234 b=18.7985 c=6.3483 alpha=90.00 beta=90.00 gamma=90.00
With the nearest neighbours (Å) after each atom.
Fractional coordinates of all 12 atoms:
Na  0.0000  0.0000  0.0000  10 Na 3.42-3.61, 4 F 3.61
Na  0.0000  0.0823  0.5000  2 F 2.31
Na  0.0000  0.3312  0.0000  6 Na 3.42-3.61
Na  0.0000  0.6688  0.0000  6 Na 3.42-3.61
Na  0.0000  0.9177  0.5000  2 F 2.31
Na  0.5000  0.1688  0.0000  6 Na 3.42-3.61
Na  0.5000  0.4177  0.5000  2 F 2.31
Na  0.5000  0.5000  0.0000  10 Na 3.42-3.61, 4 F 3.61
Na  0.5000  0.5823  0.5000  2 F 2.31
Na  0.5000  0.8312  0.0000  6 Na 3.42-3.61
F  0.0000  0.5000  0.5000  4 Na 2.31
F  0.5000  0.0000  0.5000  4 Na 2.31


Entry from Alexandria via LeMat-Bulk: a relaxed structure of BePSe3 (PBE-GGA).

Properties
formation energy without anion corrections: 822 meV per atom
final energy: -3.0961 eV/atom
Fermi-level density of states: 2.18 states/eV/cell
polymorph energy (0 for the lowest one): 0.249 eV per atom

Unit cell a=4.7961 b=4.7961 c=4.7961 alpha=90.00 beta=90.00 gamma=90.00
With the nearest neighbours (Å) after each atom.
Fractional coordinates of all 5 atoms:
Be  0.0000  0.0000  0.0000  12 Se 3.39
P  0.5000  0.5000  0.5000  6 Se 2.40
Se  0.0000  0.5000  0.5000  2 P 2.40
Se  0.5000  0.0000  0.5000  2 P 2.40
Se  0.5000  0.5000  0.0000  2 P 2.40


Entry from Alexandria via LeMat-Bulk: a relaxed structure of Na2In6Ag3 (PBE-GGA).

Properties
formation enthalpy at 0 K: -0.047 eV/atom
final energy: -2.5577 eV/atom
Fermi-level density of states: 2.30 states/eV/cell

Unit cell a=8.4230 b=8.4230 c=4.7485 alpha=90.00 beta=90.00 gamma=120.00
With the nearest neighbours (Å) after each atom.
Fractional coordinates of all 11 atoms:
Na  0.3333  0.6667  0.0000  9 In 3.45-3.82, 6 Ag 3.54
Na  0.6667  0.3333  0.0000  9 In 3.45-3.82, 6 Ag 3.54
In  0.0000  0.2094  0.0000  2 Ag 2.79, 2 In 3.05
In  0.0000  0.7068  0.5000  3 Ag 2.73-2.92
In  0.2094  0.0000  0.0000  2 Ag 2.79, 2 In 3.05
In  0.2932  0.2932  0.5000  3 Ag 2.73-2.92
In  0.7068  0.0000  0.5000  3 Ag 2.73-2.92
In  0.7906  0.7906  0.0000  2 Ag 2.79, 2 In 3.05
Ag  0.0000  0.3832  0.5000  5 In 2.73-2.92
Ag  0.3832  0.0000  0.5000  5 In 2.73-2.92
Ag  0.6168  0.6168  0.5000  5 In 2.73-2.92


Entry from Alexandria via LeMat-Bulk: a relaxed structure of Al3FeMo (PBE-GGA).

Properties
formation enthalpy at 0 K: 0.499 eV/atom
final energy: -5.6053 eV/atom
Fermi-level density of states: 2.35 states/eV/cell
polymorph energy (0 for the lowest one): 0.000 eV per atom

Unit cell a=4.3855 b=4.3855 c=4.3855 alpha=90.00 beta=90.00 gamma=90.00
With the nearest neighbours (Å) after each atom.
Fractional coordinates of all 5 atoms:
Al  0.0000  0.0000  0.5000  2 Fe 2.19
Al  0.0000  0.5000  0.0000  2 Fe 2.19
Al  0.5000  0.0000  0.0000  2 Fe 2.19
Fe  0.0000  0.0000  0.0000  6 Al 2.19
Mo  0.5000  0.5000  0.5000  12 Al 3.10


Entry from Alexandria via LeMat-Bulk: a relaxed structure of AcDyEr5 (PBE-GGA).

Properties
formation enthalpy at 0 K: 0.203 eV/atom
final energy: -4.3009 eV/atom
Fermi-level density of states: 19.06 states/eV/cell

Unit cell a=6.7910 b=6.7910 c=12.3428 alpha=106.27 beta=106.27 gamma=59.46
With the nearest neighbours (Å) after each atom.
Fractional coordinates of all 14 atoms:
Ac  0.0000  0.5000  0.0000  6 Er 3.43-3.73
Ac  0.5000  0.0000  0.5000  6 Er 3.43-3.73
Dy  0.0253  0.9747  0.7500  3 Er 3.03-3.30
Dy  0.9747  0.0253  0.2500  3 Er 3.03-3.30
Er  0.1201  0.4266  0.7352  2 Er 3.04-3.29, 1 Dy 3.40
Er  0.2061  0.6659  0.5059  4 Er 3.29-3.63, 1 Dy 3.30
Er  0.3341  0.7939  0.9941  4 Er 3.29-3.63, 1 Dy 3.30
Er  0.4250  0.5750  0.2500  1 Dy 3.03, 2 Er 3.04
Er  0.4266  0.1201  0.2352  2 Er 3.04-3.29, 1 Dy 3.40
Er  0.5734  0.8799  0.7648  2 Er 3.04-3.29, 1 Dy 3.40
Er  0.5750  0.4250  0.7500  1 Dy 3.03, 2 Er 3.04
Er  0.6659  0.2061  0.0059  4 Er 3.29-3.63, 1 Dy 3.30
Er  0.7939  0.3341  0.4941  4 Er 3.29-3.63, 1 Dy 3.30
Er  0.8799  0.5734  0.2648  2 Er 3.04-3.29, 1 Dy 3.40


Entry from Alexandria via LeMat-Bulk: a relaxed structure of KFeAg3 (PBE-GGA).

Properties
formation enthalpy at 0 K: 1.690 eV/atom
final energy: -1.9323 eV/atom
Fermi-level density of states: 9.95 states/eV/cell
polymorph energy (0 for the lowest one): 1.130 eV per atom

Unit cell a=5.3945 b=5.3945 c=5.3945 alpha=90.00 beta=90.00 gamma=90.00
With the nearest neighbours (Å) after each atom.
Fractional coordinates of all 5 atoms:
K  0.0000  0.0000  0.0000  6 Ag 2.70
Fe  0.5000  0.5000  0.5000  12 Ag 3.81
Ag  0.0000  0.0000  0.5000  2 K 2.70
Ag  0.0000  0.5000  0.0000  2 K 2.70
Ag  0.5000  0.0000  0.0000  2 K 2.70